# GGA-PBE Ac3Tl4Au2, optimized geometry
# energy of formation = -4.37 eV per formula unit
# D(E_F) = 4.60 states/eV/f.u.
# E = -3.64 eV/atom
# total moment = 0.00 μB per cell
data_Ac3Tl4Au2
_chemical_formula_sum 'Ac6 Tl8 Au4'
_space_group_name_H-M_alt 'C 1 2/m 1'
_space_group_IT_number 12
_cell_length_a 12.158
_cell_length_b 5.007
_cell_length_c 9.782
_cell_angle_alpha 90.00
_cell_angle_beta 113.76
_cell_angle_gamma 90.00
loop_
_space_group_symop_operation_xyz
'x,y,z'
'-x,-y,-z'
'-x,y,-z'
'x,-y,z'
'x+1/2,y+1/2,z'
'-x+1/2,-y+1/2,-z'
'-x+1/2,y+1/2,-z'
'x+1/2,-y+1/2,z'
loop_
_atom_site_label
_atom_site_type_symbol
_atom_site_fract_x
_atom_site_fract_y
_atom_site_fract_z
_atom_site_occupancy
Ac1 Ac 0.000 0.000 0.000 1
Ac2 Ac 0.180 0.500 0.642 1
Tl1 Tl 0.024 0.000 0.357 1
Tl2 Tl 0.244 0.500 0.086 1
Au1 Au 0.107 0.500 0.275 1